Record 1
DFT (PBE) results for a geometry-optimized MgCrSe2 structure.

It has space group R-3m (No. 166, hexagonal axes), with a = 3.8535 Å, b = 3.8535 Å, c = 18.7245 Å, α = 90.00°, β = 90.00° and γ = 120.00°. The inequivalent atoms are Mg at (0.0000, 0.0000, 0.0000), Cr at (0.0000, 0.0000, 0.5000) and Se at (0.0000, 0.0000, 0.2464).

The magnetic moment is 1.00 μB/atom. The uncorrected formation energy comes out at -2.86 eV per formula unit. The volume comes out at 240.8 Å³ per cell.

---

Record 2
DFT (PBE) results for a geometry-optimized Mg2CrSe structure.

It has space group I4/mmm (No. 139), with a = 3.997 Å, b = 3.997 Å, c = 9.610 Å, α = 90.00°, β = 90.00° and γ = 90.00°. The inequivalent atoms are Mg at (0.000, 0.500, 0.250), Cr at (0.000, 0.000, 0.000) and Se at (0.000, 0.000, 0.500).

The magnetic moment is 0.95 μB/atom. The uncorrected formation energy comes out at 0.08 eV per formula unit. The volume comes out at 153.5 Å³ per cell.

---

Record 3
DFT (PBE) results for a geometry-optimized Mg2Cr2Se structure.

It has space group P4/mbm (No. 127), with a = 7.984 Å, b = 7.984 Å, c = 3.016 Å, α = 90.00°, β = 90.00° and γ = 90.00°. The inequivalent atoms are Mg at (0.203, 0.297, 0.000), Cr at (0.080, 0.580, 0.500) and Se at (0.000, 0.000, 0.000).

The magnetic moment is 0.00 μB/atom. The uncorrected formation energy comes out at 2.76 eV per formula unit. The volume comes out at 192.3 Å³ per cell. For the energy above the lowest structure with this stoichiometry, the calculation gives 8.83 kcal/mol of atoms.

---

Record 4
DFT (PBE) results for a geometry-optimized MgCr2SiSe structure.

It has space group P4/mmm (No. 123), with a = 4.656 Å, b = 4.656 Å, c = 5.151 Å, α = 90.00°, β = 90.00° and γ = 90.00°. The inequivalent atoms are Mg at (0.000, 0.000, 0.000), Cr at (0.000, 0.500, 0.500), Si at (0.500, 0.500, 0.500) and Se at (0.500, 0.500, 0.000).

The magnetic moment is 1.51 μB/atom. The uncorrected formation energy comes out at 3.18 eV per formula unit. The volume comes out at 111.6 Å³ per cell.